CsAl3Cu at its PBEsol-relaxed geometry, computed with meta-GGA SCAN.

Cell: 4.8824 4.8824 4.8824 Å, 90.00 90.00 90.00°
Positions (direct):
Cs 0.5000 0.5000 0.5000
Al 0.0000 0.5000 0.0000
Al 0.0000 0.0000 0.5000
Al 0.5000 0.0000 0.0000
Cu 0.0000 0.0000 0.0000

Calculated values
The mass density comes out at 3.96 Mg/m³. As for the formation energy: 0.46 eV/atom. As for the density of states at the Fermi level: 3.968 states/eV/f.u.

---

Rb3S2O8 at its PBEsol-relaxed geometry, computed with meta-GGA SCAN.

Cell: 5.9356 8.0662 10.0231 Å, 102.44 90.00 111.59°
Last column: magnetic moment on the atom in μB.
Positions (direct):
Rb 0.7706 0.0000 0.7500  0.00
Rb 0.2294 0.0000 0.2500  0.00
Rb 0.4606 0.3732 0.6512  0.00
Rb 0.0874 0.6268 0.8488  0.00
Rb 0.5394 0.6268 0.3488  0.00
Rb 0.9126 0.3732 0.1512  0.00
S 0.8962 0.2282 0.4668  -0.01
S 0.6680 0.7718 0.0332  -0.01
S 0.1038 0.7718 0.5332  -0.01
S 0.3320 0.2282 0.9668  -0.01
O 0.1263 0.3092 0.4061  0.03
O 0.8171 0.6908 0.0939  0.03
O 0.8737 0.6908 0.5939  0.03
O 0.1829 0.3092 0.9061  0.03
O 0.8269 0.0231 0.4405  0.30
O 0.8038 0.9769 0.0595  0.30
O 0.1731 0.9769 0.5595  0.30
O 0.1962 0.0231 0.9405  0.30
O 0.9200 0.3050 0.6161  0.03
O 0.6150 0.6950 0.8839  0.03
O 0.0800 0.6950 0.3839  0.03
O 0.3850 0.3050 0.1161  0.03
O 0.6920 0.2517 0.3979  0.14
O 0.4403 0.7483 0.1021  0.14
O 0.3080 0.7483 0.6021  0.14
O 0.5597 0.2517 0.8979  0.14

Calculated values
The mass density comes out at 3.43 Mg/m³. The uncorrected formation energy is -2387 kJ/mol of formula units.

---

YAs2Ir at its PBEsol-relaxed geometry, computed with meta-GGA SCAN.

Cell: 3.9787 3.9787 5.3196 Å, 111.96 111.96 90.00°
Positions (direct):
Y 0.2500 0.7500 0.5000
As 0.0000 0.0000 0.0000
As 0.7500 0.2500 0.5000
Ir 0.5000 0.5000 0.0000

Calculated values
The mass density comes out at 10.01 Mg/m³. As for the formation energy: -0.46 eV/atom. As for the density of states at the Fermi level: 2.317 states/eV/f.u.

---

MnNi2Pt at its PBEsol-relaxed geometry, computed with meta-GGA SCAN.

Cell: 2.5910 2.5910 8.3248 Å, 81.05 81.05 60.00°
Last column: magnetic moment on the atom in μB.
Positions (direct):
Mn 0.0000 0.0000 0.0000  3.48
Ni 0.2558 0.2558 0.2325  0.86
Ni 0.7442 0.7442 0.7675  0.86
Pt 0.5000 0.5000 0.5000  0.13

Calculated values
The mass density comes out at 12.81 Mg/m³. As for the formation energy: -0.10 eV/atom. As for the density of states at the Fermi level: 3.346 states/eV/f.u.

---

Ca3Mg at its PBEsol-relaxed geometry, computed with meta-GGA SCAN.

Cell: 5.1948 5.1948 11.0397 Å, 103.61 103.61 90.00°
Positions (direct):
Ca 0.5000 0.0000 0.0000
Ca 0.8765 0.8765 0.7530
Ca 0.1235 0.1235 0.2470
Ca 0.2500 0.7500 0.5000
Ca 0.7500 0.2500 0.5000
Ca 0.0000 0.5000 0.0000
Mg 0.6280 0.6280 0.2559
Mg 0.3720 0.3720 0.7441

Calculated values
The mass density comes out at 1.71 Mg/m³. As for the formation energy: 0.00 eV/atom. As for the density of states at the Fermi level: 4.015 states/eV/f.u.

---

Li2NbP2O8 at its PBEsol-relaxed geometry, computed with meta-GGA SCAN.

Cell: 5.2346 7.8700 7.9968 Å, 90.00 90.00 90.07°
Last column: magnetic moment on the atom in μB.
Positions (direct):
Li 0.4985 0.9236 0.3582  0.00
Li 0.0015 0.5764 0.8582  0.00
Li 0.9985 0.4236 0.1418  0.00
Li 0.5015 0.0764 0.6418  0.00
Nb 0.5000 0.0000 0.0000  0.82
Nb 0.0000 0.5000 0.5000  0.82
P 0.4991 0.2969 0.3042  0.01
P 0.5009 0.7031 0.6958  0.01
P 0.0009 0.2031 0.8042  0.01
P 0.9991 0.7969 0.1958  0.01
O 0.4999 0.7734 0.8788  -0.01
O 0.0001 0.7266 0.3788  -0.01
O 0.9999 0.2734 0.6212  -0.01
O 0.0017 0.3456 0.9287  0.00
O 0.5001 0.2266 0.1212  -0.01
O 0.7401 0.4115 0.3232  0.01
O 0.2599 0.5885 0.6768  0.01
O 0.7416 0.5885 0.6777  0.01
O 0.4983 0.1544 0.4287  0.00
O 0.9983 0.6544 0.0713  0.00
O 0.5017 0.8456 0.5713  0.00
O 0.7584 0.9115 0.1777  0.01
O 0.2416 0.0885 0.8223  0.01
O 0.2401 0.9115 0.1768  0.01
O 0.2584 0.4115 0.3223  0.01
O 0.7599 0.0885 0.8232  0.01

Calculated values
The mass density comes out at 2.99 Mg/m³. As for the density of states at the Fermi level: 0.407 states/eV/f.u. The uncorrected formation energy is -3228 kJ/mol of formula units.

---

InRhSe2 at its PBEsol-relaxed geometry, computed with meta-GGA SCAN.

Cell: 3.6620 3.6620 8.4583 Å, 77.50 77.50 60.00°
Positions (direct):
Rh 0.5000 0.5000 0.5000
Se 0.8841 0.8841 0.3476
Se 0.1159 0.1159 0.6524
In 0.0000 0.0000 0.0000

Calculated values
The mass density comes out at 6.56 Mg/m³. As for the density of states at the Fermi level: 2.121 states/eV/f.u. The uncorrected formation energy is -134 kJ/mol of formula units.

---

Na2Nd2PtO6 at its PBEsol-relaxed geometry, computed with meta-GGA SCAN.

Cell: 6.5381 6.5381 6.5928 Å, 89.01 89.01 88.83°
Positions (direct):
Na 0.2420 0.7580 0.5000
Na 0.7545 0.2455 0.0000
Na 0.2462 0.1053 0.8567
Na 0.8947 0.7538 0.1433
Nd 0.6113 0.3887 0.5000
Nd 0.1145 0.2440 0.3529
Nd 0.3768 0.6232 0.0000
Nd 0.7560 0.8855 0.6471
Pt 0.9982 0.4927 0.7558
Pt 0.5073 0.0018 0.2442
O 0.0740 0.7817 0.8107
O 0.9377 0.5682 0.4660
O 0.2942 0.4448 0.6750
O 0.7960 0.0864 0.3179
O 0.4496 0.3070 0.1866
O 0.5759 0.9407 0.9479
O 0.9136 0.2040 0.6821
O 0.0593 0.4241 0.0521
O 0.6930 0.5504 0.8134
O 0.2183 0.9260 0.1893
O 0.5552 0.7058 0.3250
O 0.4318 0.0623 0.5340

Calculated values
The mass density comes out at 7.38 Mg/m³. As for the density of states at the Fermi level: 0.000 states/eV/f.u. The uncorrected formation energy is -2564 kJ/mol of formula units.

---

Question: Among the records above, which one has the lowest mass density?
Answer: Ca3Mg

---

Question: Which of these has the lowest mass density?
Answer: Ca3Mg